<1>
Material: LaYSe2
Method: DFT, GGA-PBE
State: relaxed

Cell: 9.1679 9.1679 9.1679 Å, 27.29 27.29 27.29°
With the nearest neighbours (Å) after each atom.
Positions (direct):
Se 0.8955 0.8955 0.8955  1 Y 2.77, 3 La 2.99
Se 0.1045 0.1045 0.1045  1 Y 2.77, 3 La 2.99
Y 0.0000 0.0000 0.0000  2 Se 2.77
La 0.5000 0.5000 0.5000  6 Se 2.99

The crystal system is trigonal. The calculation puts the calculated density at 4.5 Mg/m³.

***

<2>
Material: LaYSe2
Method: DFT, GGA-PBE
State: relaxed

Cell: 6.6046 6.6046 8.0447 Å, 65.76 65.76 90.00°
With the nearest neighbours (Å) after each atom.
Positions (direct):
Se 0.6046 0.1250 0.2500  2 Y 2.78, 2 La 2.93
Se 0.3750 0.3954 0.7500  2 Y 2.78, 2 La 2.93
Se 0.1454 0.6250 0.2500  2 Y 2.78, 2 La 2.93
Se 0.8750 0.8546 0.7500  2 Y 2.78, 2 La 2.93
La 0.0000 0.0000 0.0000  4 Se 2.93
La 0.7500 0.2500 0.5000  4 Se 2.93
Y 0.2500 0.7500 0.5000  4 Se 2.78
Y 0.5000 0.5000 0.0000  4 Se 2.78

The crystal system is tetragonal. The calculation puts the calculated density at 4.5 Mg/m³.

***

Question: of the structures shown, which is the most stable? Reply: <2>.